[1]
The following is a DFT calculation (meta-GGA SCAN) of V20As11 at its PBEsol-relaxed geometry. Values from VASP.

Geometry as Quantum ESPRESSO input:
```
&SYSTEM
  ibrav = 0, nat = 31, ntyp = 2
/
ATOMIC_SPECIES
V 50.94 V.upf
As 74.92 As.upf
CELL_PARAMETERS angstrom
2.390 -6.601 0.000
2.390 6.601 0.000
0.000 0.000 13.197
ATOMIC_POSITIONS crystal
V 0.088 0.383 0.927
V 0.097 0.403 0.575
V 0.160 0.308 0.147
V 0.174 0.323 0.347
V 0.250 0.750 0.248
V 0.250 0.750 0.752
V 0.308 0.160 0.853
V 0.323 0.174 0.653
V 0.383 0.088 0.073
V 0.403 0.097 0.425
V 0.597 0.903 0.425
V 0.617 0.912 0.073
V 0.677 0.826 0.653
V 0.692 0.840 0.853
V 0.750 0.250 0.248
V 0.750 0.250 0.752
V 0.826 0.677 0.347
V 0.840 0.692 0.147
V 0.903 0.597 0.575
V 0.912 0.617 0.927
As 0.000 0.000 0.500
As 0.000 0.500 0.083
As 0.000 0.500 0.414
As 0.167 0.336 0.752
As 0.336 0.167 0.248
As 0.500 0.000 0.586
As 0.500 0.000 0.917
As 0.500 0.500 0.000
As 0.500 0.500 0.500
As 0.664 0.833 0.248
As 0.833 0.664 0.752
```

## Properties
Symmetry   C222 (21)

[2]
The following is a DFT calculation (meta-GGA SCAN) of VAs2 at its PBEsol-relaxed geometry. Values from VASP.

Geometry as Quantum ESPRESSO input:
```
&SYSTEM
  ibrav = 0, nat = 6, ntyp = 2
/
ATOMIC_SPECIES
V 50.94 V.upf
As 74.92 As.upf
CELL_PARAMETERS angstrom
4.504 -1.618 0.000
4.504 1.618 0.000
-3.690 0.000 6.425
ATOMIC_POSITIONS crystal
V 0.154 0.154 0.194
V 0.846 0.846 0.806
As 0.147 0.147 0.534
As 0.404 0.404 0.108
As 0.596 0.596 0.892
As 0.853 0.853 0.466
```

## Properties
Symmetry   C2/m (12)

[3]
The following is a DFT calculation (meta-GGA SCAN) of AsW at its PBEsol-relaxed geometry. Values from VASP.

Geometry as Quantum ESPRESSO input:
```
&SYSTEM
  ibrav = 0, nat = 4, ntyp = 2
/
ATOMIC_SPECIES
As 74.92 As.upf
W 183.84 W.upf
CELL_PARAMETERS angstrom
3.057 0.000 0.000
-1.528 2.647 0.000
0.000 0.000 7.697
ATOMIC_POSITIONS crystal
As 0.000 0.000 0.000
As 0.000 0.000 0.500
W 0.333 0.667 0.250
W 0.667 0.333 0.750
```

## Properties
Symmetry   P6_3/mmc (194)

[4]
The following is a DFT calculation (meta-GGA SCAN) of As3W2 at its PBEsol-relaxed geometry. Values from VASP.

Geometry as Quantum ESPRESSO input:
```
&SYSTEM
  ibrav = 0, nat = 10, ntyp = 2
/
ATOMIC_SPECIES
As 74.92 As.upf
W 183.84 W.upf
CELL_PARAMETERS angstrom
6.644 -1.629 0.000
6.644 1.629 0.000
-5.414 0.000 7.879
ATOMIC_POSITIONS crystal
As 0.083 0.083 0.312
As 0.377 0.377 0.953
As 0.394 0.394 0.370
As 0.606 0.606 0.630
As 0.623 0.623 0.047
As 0.917 0.917 0.688
W 0.153 0.153 0.871
W 0.253 0.253 0.628
W 0.747 0.747 0.372
W 0.847 0.847 0.129
```

## Properties
Symmetry   C2/m (12)

These records have E_form values of -48.5 -44.4 44.0 -6.3 kJ/mol of atoms, in the order they appear.
These records have VASP energy values of -18.9504 -19.7497 -44.4829 -40.0548 eV/atom, in the order they appear.
These records have magnetic moment values of 0.001 0.000 0.000 0.000 μB/f.u., in the order they appear.